[1]
Compound: Ba6RhS2Cl3
Source: Alexandria
Functional: GGA-PBE
Structure: optimized geometry

The value obtained for the magnetization is 0.162 μB/atom. The crystal system is monoclinic. For the raw formation energy, the calculation gives -1656.1 meV per atom.

The space group is C2/m (No. 12) and the conventional cell measures 7.9710, 13.7762 and 8.0475 Å, with angles of 90.00, 109.35 and 90.00 degrees. Symmetry generates all atoms from Ba at (0.2357, 0.1608, 0.2229), Ba at (0.2489, 0.0000, 0.7740), Rh at (0.0000, 0.0000, 0.0000), S at (0.0000, 0.3333, 0.0000), Cl at (0.0000, 0.1735, 0.5000) and Cl at (0.0000, 0.5000, 0.5000).

---

[2]
Compound: BaTiRh2Cl
Source: Alexandria
Functional: GGA-PBE
Structure: optimized geometry

The value obtained for the magnetization is 0.000 μB/atom. The crystal system is tetragonal. For the raw formation energy, the calculation gives -442.8 meV per atom.

The space group is P4/mmm (No. 123) and the conventional cell measures 4.6782, 4.6782 and 5.2941 Å, with angles of 90.00, 90.00 and 90.00 degrees. Symmetry generates all atoms from Ba at (0.0000, 0.0000, 0.0000), Ti at (0.5000, 0.5000, 0.5000), Rh at (0.0000, 0.5000, 0.5000) and Cl at (0.5000, 0.5000, 0.0000).

---

[3]
Compound: Ba2TlRhCl
Source: Alexandria
Functional: GGA-PBE
Structure: optimized geometry

The value obtained for the magnetization is 0.000 μB/atom. The crystal system is tetragonal. For the raw formation energy, the calculation gives -754.2 meV per atom.

The space group is P4/mmm (No. 123) and the conventional cell measures 6.0621, 6.0621 and 5.2030 Å, with angles of 90.00, 90.00 and 90.00 degrees. Symmetry generates all atoms from Ba at (0.0000, 0.5000, 0.0000), Tl at (0.0000, 0.0000, 0.5000), Rh at (0.0000, 0.0000, 0.0000) and Cl at (0.5000, 0.5000, 0.5000).

---

[4]
Compound: Ba2ZnRhCl
Source: Alexandria
Functional: GGA-PBE
Structure: optimized geometry

The value obtained for the magnetization is 0.000 μB/atom. The crystal system is tetragonal. For the raw formation energy, the calculation gives -780.9 meV per atom.

The space group is P4/mmm (No. 123) and the conventional cell measures 5.9990, 5.9990 and 4.7980 Å, with angles of 90.00, 90.00 and 90.00 degrees. Symmetry generates all atoms from Ba at (0.0000, 0.5000, 0.0000), Zn at (0.0000, 0.0000, 0.5000), Rh at (0.0000, 0.0000, 0.0000) and Cl at (0.5000, 0.5000, 0.5000).

---

| no. | E (eV/cell) |
| --- | --- |
| 1 | -105.11 |
| 2 | -28.58 |
| 3 | -19.18 |
| 4 | -18.22 |